Entry 1:
This record from Alexandria via LeMat-Bulk describes a relaxed ScInSi2 crystal. The functional is PBE-GGA.

## Properties
Polymorph energy (0 for the lowest one) = 0.271 eV per atom
ΔE_f (raw) = 0.104 eV per atom
VASP energy = -4.88 eV per atom

a b c (Å): 8.622 8.622 8.622
angles (deg): 22.24 22.24 22.24
Positions (direct):
Sc  0.000  0.000  0.000
In  0.500  0.500  0.500
Si  0.252  0.252  0.252
Si  0.748  0.748  0.748



Entry 2:
This record from Alexandria via LeMat-Bulk describes a relaxed ScInSi2 crystal. The functional is PBE-GGA.

## Properties
Polymorph energy (0 for the lowest one) = 0.123 eV per atom
ΔE_f (raw) = -0.044 eV per atom
VASP energy = -5.02 eV per atom

a b c (Å): 7.783 7.783 7.783
angles (deg): 26.97 26.97 26.97
Positions (direct):
Sc  0.000  0.000  0.000
In  0.230  0.230  0.230
Si  0.460  0.460  0.460
Si  0.746  0.746  0.746



Entry 3:
This record from Alexandria via LeMat-Bulk describes a relaxed ScIn2Si crystal. The functional is PBE-GGA.

## Properties
Polymorph energy (0 for the lowest one) = 0.092 eV per atom
ΔE_f (raw) = -0.111 eV per atom
VASP energy = -4.42 eV per atom

a b c (Å): 3.692 3.692 6.659
angles (deg): 90.00 90.00 90.00
Positions (direct):
Sc  0.000  0.000  0.000
In  0.000  0.000  0.444
In  0.500  0.500  0.714
Si  0.500  0.500  0.138



Repeat the third record exactly.
This record from Alexandria via LeMat-Bulk describes a relaxed ScIn2Si crystal. The functional is PBE-GGA.

## Properties
Polymorph energy (0 for the lowest one) = 0.092 eV per atom
ΔE_f (raw) = -0.111 eV per atom
VASP energy = -4.42 eV per atom

a b c (Å): 3.692 3.692 6.659
angles (deg): 90.00 90.00 90.00
Positions (direct):
Sc  0.000  0.000  0.000
In  0.000  0.000  0.444
In  0.500  0.500  0.714
Si  0.500  0.500  0.138



Question: What is the polymorph energy (0 for the lowest one) in the second record?
Answer: 0.123 eV per atom